Sr3LaMn2W2O12 | PBE with a Hubbard U | optimized geometry Values from VASP.

Cell and atoms, written as Quantum ESPRESSO input:
```
&SYSTEM
  ibrav = 0, nat = 20, ntyp = 5
/
ATOMIC_SPECIES
La 138.91 La.upf
Sr 87.62 Sr.upf
O 16.00 O.upf
W 183.84 W.upf
Mn 54.94 Mn.upf
ATOMIC_POSITIONS angstrom
La 4.270 4.612 3.738
Sr 2.844 8.100 5.134
Sr 1.702 0.509 1.021
Sr 0.338 3.966 2.386
O 2.619 2.837 2.251
O 3.345 5.269 1.202
O 2.020 5.747 3.946
O 5.242 3.407 1.727
O 6.227 6.087 2.675
O 4.123 2.531 4.882
O -0.591 2.112 0.965
O -1.779 2.452 3.515
O 1.236 3.310 5.032
O 5.034 6.431 5.119
O 0.406 6.156 1.211
O -0.682 5.216 4.465
W -1.312 0.897 2.430
W 0.958 5.169 5.510
Mn 2.200 6.967 2.033
Mn -2.661 4.435 3.811
CELL_PARAMETERS angstrom
-0.114 5.347 -2.081
-2.628 1.767 4.867
7.288 1.479 3.370
```

Output
Symmetry ... P1



La2MnTe2O2 | PBE with a Hubbard U | optimized geometry Values from VASP.

Cell and atoms, written as Quantum ESPRESSO input:
```
&SYSTEM
  ibrav = 0, nat = 7, ntyp = 4
/
ATOMIC_SPECIES
Te 127.60 Te.upf
La 138.91 La.upf
O 16.00 O.upf
Mn 54.94 Mn.upf
ATOMIC_POSITIONS angstrom
Te 4.120 2.639 4.340
Te 4.120 5.538 1.950
La 6.180 5.425 4.845
La 2.060 2.752 1.444
O 4.120 2.109 0.446
O 4.120 6.068 5.843
Mn 0.000 0.000 0.000
CELL_PARAMETERS angstrom
4.120 0.000 0.000
2.060 6.062 -0.178
2.060 2.116 6.467
```

Output
Symmetry ... C2/m



LaMnTeO2 | PBE with a Hubbard U | optimized geometry Values from VASP.

Cell and atoms, written as Quantum ESPRESSO input:
```
&SYSTEM
  ibrav = 0, nat = 10, ntyp = 4
/
ATOMIC_SPECIES
O 16.00 O.upf
Te 127.60 Te.upf
La 138.91 La.upf
Mn 54.94 Mn.upf
ATOMIC_POSITIONS angstrom
O 0.000 4.227 0.000
O 0.000 1.365 0.000
O 2.796 1.365 0.000
O 2.796 4.227 0.000
Te 4.194 2.796 3.450
Te 1.398 0.000 3.462
La 4.194 0.000 5.634
La 1.398 2.796 1.277
Mn 1.398 2.796 6.254
Mn 4.194 0.000 0.658
CELL_PARAMETERS angstrom
5.592 0.000 0.000
0.000 5.592 0.000
0.000 -2.796 6.912
```

Output
Symmetry ... Cmcm



La2TiMnO6 | PBE with a Hubbard U | optimized geometry Values from VASP.

Cell and atoms, written as Quantum ESPRESSO input:
```
&SYSTEM
  ibrav = 0, nat = 20, ntyp = 4
/
ATOMIC_SPECIES
O 16.00 O.upf
La 138.91 La.upf
Mn 54.94 Mn.upf
Ti 47.87 Ti.upf
ATOMIC_POSITIONS angstrom
O -3.392 1.491 -0.706
O -1.503 -0.539 -0.523
O -7.787 2.030 3.116
O -5.954 -0.445 -1.815
O -7.510 -1.309 0.340
O -9.408 -0.453 2.852
O -3.401 0.318 1.989
O -7.519 -2.483 3.035
O -4.958 -0.547 4.144
O -5.971 1.004 0.608
O -4.940 -1.995 1.721
O -3.124 -3.021 -0.788
La -6.770 -0.143 2.607
La -3.551 -4.264 1.519
La -4.142 -0.849 -0.279
La -7.360 3.273 0.809
Mn -4.216 2.062 1.122
Mn -1.239 -2.558 0.042
Ti -1.890 0.885 -1.845
Ti -3.566 -1.381 3.009
CELL_PARAMETERS angstrom
-3.780 1.771 -3.689
-2.479 -5.115 0.085
-4.653 2.353 5.933
```

Output
Symmetry ... P2_1/c



Record-wise E_tot values, in eV/atom: -7.479; -7.012; -7.076; -8.313
Record-wise total magnetic moment values, in μB per formula unit: 11.0; 5.0; 4.6; 1.0